Compound: Er2Co9Ge6
Source: Alexandria via LeMat-Bulk
Functional: PBE
Structure: optimized geometry

abc: 5.210 5.210 10.978
angles: 90.00 90.00 120.00
Element x y z (fractional)
Er (0.000, 0.000, 0.686)
Er (0.000, 0.000, 0.314)
Co (0.500, 0.000, 0.831)
Co (0.000, 0.500, 0.831)
Co (0.500, 0.500, 0.831)
Co (0.500, 0.000, 0.169)
Co (0.000, 0.500, 0.169)
Co (0.500, 0.500, 0.169)
Co (0.500, 0.000, 0.500)
Co (0.000, 0.500, 0.500)
Co (0.500, 0.500, 0.500)
Ge (0.333, 0.667, 0.000)
Ge (0.667, 0.333, 0.000)
Ge (0.333, 0.667, 0.665)
Ge (0.667, 0.333, 0.665)
Ge (0.667, 0.333, 0.335)
Ge (0.333, 0.667, 0.335)

Properties
**Density of states at the Fermi level**: 18.3 states/eV/cell
**Space-group type**: P6/mmm (191)
**E_form**: -404 kJ/mol of formula units